Version A
{
  "formula": "ZrIF3",
  "functional": "PBE-GGA",
  "state": "optimized geometry",
  "lattice_angstrom": [[4.368, 0.000, 0.000], [0.000, 4.368, 0.000], [0.000, 0.000, 4.368]],
  "species": ["Zr", "I", "F", "F", "F"],
  "frac_coords": [[0.000, 0.000, 0.000], [0.500, 0.500, 0.500], [0.000, 0.000, 0.500], [0.000, 0.500, 0.000], [0.500, 0.000, 0.000]],
  "magnetic_moment_mub_per_fu": 0.00
}

Version B
{
  "formula": "ZrIF3",
  "functional": "PBE-GGA",
  "state": "optimized geometry",
  "lattice_angstrom": [[6.385, 0.000, 0.000], [0.000, 6.880, 0.000], [0.000, 0.000, 5.144]],
  "species": ["Zr", "Zr", "I", "I", "F", "F", "F", "F", "F", "F"],
  "frac_coords": [[0.000, 0.014, 0.000], [0.500, 0.986, 0.500], [0.000, 0.397, 0.848], [0.500, 0.603, 0.348], [0.000, 0.803, 0.251], [0.225, 0.915, 0.742], [0.275, 0.085, 0.242], [0.500, 0.197, 0.751], [0.725, 0.085, 0.242], [0.775, 0.915, 0.742]],
  "magnetic_moment_mub_per_fu": 0.00
}

Result of the stability comparison: version B is the most stable of them.

Version A
{
  "formula": "ZrI2F2",
  "functional": "PBE-GGA",
  "state": "optimized geometry",
  "lattice_angstrom": [[7.327, 0.000, 0.000], [0.000, 7.327, 0.000], [0.000, 0.000, 4.645]],
  "species": ["Zr", "Zr", "I", "I", "I", "I", "F", "F", "F", "F"],
  "frac_coords": [[0.000, 0.000, 0.000], [0.500, 0.500, 0.000], [0.156, 0.344, 0.000], [0.344, 0.844, 0.000], [0.656, 0.156, 0.000], [0.844, 0.656, 0.000], [0.189, 0.689, 0.500], [0.311, 0.189, 0.500], [0.689, 0.811, 0.500], [0.811, 0.311, 0.500]],
  "magnetic_moment_mub_per_fu": 0.00
}

Version B
{
  "formula": "ZrI2F2",
  "functional": "PBE-GGA",
  "state": "optimized geometry",
  "lattice_angstrom": [[3.716, 0.000, 0.000], [0.000, 3.716, 0.000], [0.000, 0.000, 14.182]],
  "species": ["Zr", "Zr", "I", "I", "I", "I", "F", "F", "F", "F"],
  "frac_coords": [[0.000, 0.000, 0.000], [0.500, 0.500, 0.500], [0.000, 0.000, 0.380], [0.000, 0.000, 0.620], [0.500, 0.500, 0.120], [0.500, 0.500, 0.880], [0.000, 0.500, 0.250], [0.000, 0.500, 0.750], [0.500, 0.000, 0.250], [0.500, 0.000, 0.750]],
  "magnetic_moment_mub_per_fu": 0.64
}

Result of the stability comparison: version B is the most stable of them.

Version A
{
  "formula": "InIr3F",
  "functional": "PBE-GGA",
  "state": "optimized geometry",
  "lattice_angstrom": [[4.981, 0.000, 0.000], [0.000, 4.981, 0.000], [0.000, 0.000, 4.981]],
  "species": ["In", "Ir", "Ir", "Ir", "F"],
  "frac_coords": [[0.000, 0.000, 0.000], [0.000, 0.000, 0.500], [0.000, 0.500, 0.000], [0.500, 0.000, 0.000], [0.500, 0.500, 0.500]],
  "magnetic_moment_mub_per_fu": 4.22
}

Version B
{
  "formula": "InIr3F",
  "functional": "PBE-GGA",
  "state": "optimized geometry",
  "lattice_angstrom": [[4.328, 0.000, 0.000], [0.000, 4.328, 0.000], [0.000, 0.000, 4.328]],
  "species": ["In", "Ir", "Ir", "Ir", "F"],
  "frac_coords": [[0.000, 0.000, 0.000], [0.000, 0.500, 0.500], [0.500, 0.000, 0.500], [0.500, 0.500, 0.000], [0.500, 0.500, 0.500]],
  "magnetic_moment_mub_per_fu": 0.00
}

Result of the stability comparison: version B is the most stable of them.

Version A
{
  "formula": "InIrF3",
  "functional": "PBE-GGA",
  "state": "optimized geometry",
  "lattice_angstrom": [[4.328, 0.000, 0.000], [0.000, 4.328, 0.000], [0.000, 0.000, 4.328]],
  "species": ["In", "Ir", "F", "F", "F"],
  "frac_coords": [[0.000, 0.000, 0.000], [0.500, 0.500, 0.500], [0.000, 0.000, 0.500], [0.000, 0.500, 0.000], [0.500, 0.000, 0.000]],
  "magnetic_moment_mub_per_fu": 2.72
}

Version B
{
  "formula": "InIrF3",
  "functional": "PBE-GGA",
  "state": "optimized geometry",
  "lattice_angstrom": [[4.331, 0.000, 0.000], [0.000, 4.331, 0.000], [0.000, 0.000, 4.331]],
  "species": ["In", "Ir", "F", "F", "F"],
  "frac_coords": [[0.000, 0.000, 0.000], [0.500, 0.500, 0.500], [0.000, 0.500, 0.500], [0.500, 0.000, 0.500], [0.500, 0.500, 0.000]],
  "magnetic_moment_mub_per_fu": 0.00
}

Result of the stability comparison: version B is the most stable of them.

Version A
{
  "formula": "In3IrF",
  "functional": "PBE-GGA",
  "state": "optimized geometry",
  "lattice_angstrom": [[4.697, 0.000, 0.000], [0.000, 4.697, 0.000], [0.000, 0.000, 4.697]],
  "species": ["In", "In", "In", "Ir", "F"],
  "frac_coords": [[0.000, 0.000, 0.500], [0.000, 0.500, 0.000], [0.500, 0.000, 0.000], [0.500, 0.500, 0.500], [0.000, 0.000, 0.000]],
  "magnetic_moment_mub_per_fu": 0.00
}

Version B
{
  "formula": "In3IrF",
  "functional": "PBE-GGA",
  "state": "optimized geometry",
  "lattice_angstrom": [[5.149, 0.000, 0.000], [0.000, 5.149, 0.000], [0.000, 0.000, 5.149]],
  "species": ["In", "In", "In", "Ir", "F"],
  "frac_coords": [[0.000, 0.000, 0.500], [0.000, 0.500, 0.000], [0.500, 0.000, 0.000], [0.000, 0.000, 0.000], [0.500, 0.500, 0.500]],
  "magnetic_moment_mub_per_fu": 0.00
}

Result of the stability comparison: version B is the most stable of them.

Version A
{
  "formula": "ZnInIr2F",
  "functional": "PBE-GGA",
  "state": "optimized geometry",
  "lattice_angstrom": [[4.604, 0.000, 0.000], [0.000, 4.604, 0.000], [0.000, 0.000, 5.076]],
  "species": ["Zn", "In", "Ir", "Ir", "F"],
  "frac_coords": [[0.000, 0.000, 0.000], [0.000, 0.000, 0.500], [0.000, 0.500, 0.000], [0.500, 0.000, 0.000], [0.500, 0.500, 0.500]],
  "magnetic_moment_mub_per_fu": 2.14
}

Version B
{
  "formula": "ZnInIr2F",
  "functional": "PBE-GGA",
  "state": "optimized geometry",
  "lattice_angstrom": [[4.803, 0.000, 0.000], [0.000, 4.803, 0.000], [0.000, 0.000, 3.754]],
  "species": ["Zn", "In", "Ir", "Ir", "F"],
  "frac_coords": [[0.000, 0.000, 0.000], [0.500, 0.500, 0.500], [0.000, 0.500, 0.000], [0.500, 0.000, 0.000], [0.000, 0.000, 0.500]],
  "magnetic_moment_mub_per_fu": 0.00
}

Result of the stability comparison: version B is the most stable of them.

Version A
{
  "formula": "K2InF",
  "functional": "PBE-GGA",
  "state": "optimized geometry",
  "lattice_angstrom": [[8.184, 0.000, 0.000], [0.000, 8.184, 0.000], [0.000, 0.000, 8.184]],
  "species": ["K", "K", "K", "K", "K", "K", "K", "K", "In", "In", "In", "In", "F", "F", "F", "F"],
  "frac_coords": [[0.250, 0.250, 0.250], [0.250, 0.250, 0.750], [0.250, 0.750, 0.250], [0.250, 0.750, 0.750], [0.750, 0.250, 0.250], [0.750, 0.250, 0.750], [0.750, 0.750, 0.250], [0.750, 0.750, 0.750], [0.000, 0.000, 0.000], [0.000, 0.500, 0.500], [0.500, 0.000, 0.500], [0.500, 0.500, 0.000], [0.000, 0.000, 0.500], [0.000, 0.500, 0.000], [0.500, 0.000, 0.000], [0.500, 0.500, 0.500]],
  "magnetic_moment_mub_per_fu": 0.00
}

Version B
{
  "formula": "K2InF",
  "functional": "PBE-GGA",
  "state": "optimized geometry",
  "lattice_angstrom": [[7.819, 0.000, 0.000], [0.000, 7.819, 0.000], [0.000, 0.000, 9.593]],
  "species": ["K", "K", "K", "K", "K", "K", "K", "K", "In", "In", "In", "In", "F", "F", "F", "F"],
  "frac_coords": [[0.124, 0.250, 0.125], [0.250, 0.624, 0.375], [0.250, 0.876, 0.875], [0.376, 0.250, 0.625], [0.624, 0.750, 0.625], [0.750, 0.124, 0.875], [0.750, 0.376, 0.375], [0.876, 0.750, 0.125], [0.000, 0.000, 0.500], [0.000, 0.500, 0.750], [0.500, 0.000, 0.250], [0.500, 0.500, 0.000], [0.000, 0.000, 0.000], [0.000, 0.500, 0.250], [0.500, 0.000, 0.750], [0.500, 0.500, 0.500]],
  "magnetic_moment_mub_per_fu": 0.00
}

Result of the stability comparison: version B is the most stable of them.

Version A
{
  "formula": "K5In2F12",
  "functional": "PBE-GGA",
  "state": "optimized geometry",
  "lattice_angstrom": [[6.454, -4.154, 0.000], [6.454, 4.154, 0.000], [-4.415, 0.000, 6.516]],
  "species": ["K", "K", "K", "K", "K", "In", "In", "F", "F", "F", "F", "F", "F", "F", "F", "F", "F", "F", "F"],
  "frac_coords": [[0.000, 0.000, 0.000], [0.256, 0.256, 0.491], [0.310, 0.310, 0.014], [0.690, 0.690, 0.986], [0.744, 0.744, 0.509], [0.222, 0.778, 0.500], [0.778, 0.222, 0.500], [0.113, 0.512, 0.275], [0.114, 0.114, 0.645], [0.156, 0.745, 0.714], [0.255, 0.844, 0.286], [0.486, 0.486, 0.612], [0.488, 0.887, 0.725], [0.512, 0.113, 0.275], [0.514, 0.514, 0.388], [0.745, 0.156, 0.714], [0.844, 0.255, 0.286], [0.886, 0.886, 0.355], [0.887, 0.488, 0.725]],
  "magnetic_moment_mub_per_fu": 1.19
}

Version B
{
  "formula": "K5In2F12",
  "functional": "PBE-GGA",
  "state": "optimized geometry",
  "lattice_angstrom": [[7.158, -3.360, 0.000], [7.158, 3.360, 0.000], [-2.267, 0.000, 7.990]],
  "species": ["K", "K", "K", "K", "K", "In", "In", "F", "F", "F", "F", "F", "F", "F", "F", "F", "F", "F", "F"],
  "frac_coords": [[0.000, 0.000, 0.000], [0.297, 0.297, 0.668], [0.300, 0.300, 0.136], [0.700, 0.700, 0.864], [0.703, 0.703, 0.332], [0.249, 0.751, 0.500], [0.751, 0.249, 0.500], [0.001, 0.001, 0.666], [0.098, 0.598, 0.925], [0.113, 0.592, 0.430], [0.402, 0.902, 0.075], [0.408, 0.887, 0.570], [0.499, 0.499, 0.666], [0.501, 0.501, 0.334], [0.592, 0.113, 0.430], [0.598, 0.098, 0.925], [0.887, 0.408, 0.570], [0.902, 0.402, 0.075], [0.999, 0.999, 0.334]],
  "magnetic_moment_mub_per_fu": 1.07
}

Result of the stability comparison: version B is the most stable of them.